1.
The following is a PBE calculation of an optimized crystal structure of KGaB3, from the Alexandria database.

Results
As for the energy of formation from the pure elements: 1.729 eV/atom. The calculation puts the mass density at 2.80 g/cm³. As for the symmetry: No. 221. For the spin magnetization, the calculation gives 0.00 μB/cell.

Cell lengths 4.3769, 4.3769, 4.3769 Å; angles 90.00, 90.00, 90.00 degrees
Closest atoms and distances in Å follow each position.
Fractional coordinates of all 5 atoms:
1 K 0.0000 0.0000 0.0000  12 B 3.09
2 Ga 0.5000 0.5000 0.5000  6 B 2.19
3 B 0.0000 0.5000 0.5000  2 Ga 2.19
4 B 0.5000 0.0000 0.5000  2 Ga 2.19
5 B 0.5000 0.5000 0.0000  2 Ga 2.19


2.
The following is a PBE calculation of an optimized crystal structure of BeTcOs, from the Alexandria database.

Results
As for the energy of formation from the pure elements: 0.045 eV/atom. The calculation puts the mass density at 13.20 g/cm³. As for the symmetry: No. 62. For the spin magnetization, the calculation gives 0.00 μB/cell.

Cell lengths 5.5545, 3.7996, 7.0852 Å; angles 90.00, 90.00, 90.00 degrees
Closest atoms and distances in Å follow each position.
Fractional coordinates of all 12 atoms:
1 Be 0.2360 0.2500 0.1259  4 Os 2.33-2.36, 3 Tc 2.44-2.51
2 Be 0.2640 0.7500 0.6259  4 Os 2.33-2.36, 3 Tc 2.44-2.51
3 Be 0.7360 0.2500 0.3741  4 Os 2.33-2.36, 3 Tc 2.44-2.51
4 Be 0.7640 0.7500 0.8741  4 Os 2.33-2.36, 3 Tc 2.44-2.51
5 Tc 0.0276 0.2500 0.8111  5 Be 2.44-2.66, 2 Os 2.66-2.70
6 Tc 0.4724 0.7500 0.3111  5 Be 2.44-2.66, 2 Os 2.66-2.70
7 Tc 0.5276 0.2500 0.6889  5 Be 2.44-2.66, 2 Os 2.66-2.70
8 Tc 0.9724 0.7500 0.1889  5 Be 2.44-2.66, 2 Os 2.66-2.70
9 Os 0.1508 0.2500 0.4481  4 Be 2.33-2.36
10 Os 0.3492 0.7500 0.9481  4 Be 2.33-2.36
11 Os 0.6508 0.2500 0.0519  4 Be 2.33-2.36
12 Os 0.8492 0.7500 0.5519  4 Be 2.33-2.36


3.
The following is a PBE calculation of an optimized crystal structure of LaAs2I, from the Alexandria database.

Results
The calculation puts the mass density at 5.60 g/cm³. As for the symmetry: No. 122. For the spin magnetization, the calculation gives 0.00 μB/cell. As for the uncorrected formation energy: -0.59 eV/atom.

Cell lengths 11.9011, 11.9011, 11.9011 Å; angles 157.52, 157.52, 32.00 degrees
Closest atoms and distances in Å follow each position.
Fractional coordinates of all 8 atoms:
1 La 0.0000 0.0000 0.0000  4 As 3.14, 4 I 3.28
2 La 0.7500 0.2500 0.5000  4 As 3.14, 4 I 3.28
3 As 0.0031 0.6250 0.8781  2 As 2.61
4 As 0.3750 0.2531 0.3781  2 As 2.61
5 As 0.7469 0.1250 0.1219  2 As 2.61
6 As 0.8750 0.9969 0.6219  2 As 2.61
7 I 0.2500 0.7500 0.5000  4 La 3.28, 4 As 3.54
8 I 0.5000 0.5000 0.0000  4 La 3.28, 4 As 3.54


Q: The highest mass density belongs to which entry?
A: BeTcOs